No. 1
This record from OQMD describes a geometry-optimized SrFeAgSe3 structure. The functional is PBE.

Cell: 7.586 4.061 9.266 Å, 90.00 107.93 90.00°
Element x y z (fractional)
Sr: 0.235 0.250 0.264
Sr: 0.765 0.750 0.736
Fe: 0.315 0.750 0.841
Fe: 0.685 0.250 0.159
Ag: 0.096 0.250 0.602
Ag: 0.904 0.750 0.398
Se: 0.102 0.250 0.882
Se: 0.299 0.750 0.553
Se: 0.450 0.750 0.127
Se: 0.550 0.250 0.873
Se: 0.701 0.250 0.447
Se: 0.898 0.750 0.118

- Energy above the most stable polymorph in this dataset: 3 meV/atom
- M_tot: 7.076 μB/cell
- Calculated density: 5.97 Mg/m³
- Final energy: -54.24 eV per cell


No. 2
This record from OQMD describes a geometry-optimized SrFeAgSe3 structure. The functional is PBE.

Cell: 13.402 4.089 10.007 Å, 90.00 90.00 90.00°
Element x y z (fractional)
Sr: 0.236 0.250 0.062
Sr: 0.264 0.750 0.562
Sr: 0.736 0.250 0.438
Sr: 0.764 0.750 0.938
Fe: 0.014 0.250 0.330
Fe: 0.486 0.750 0.830
Fe: 0.514 0.250 0.170
Fe: 0.986 0.750 0.670
Ag: 0.005 0.750 0.099
Ag: 0.495 0.250 0.599
Ag: 0.505 0.750 0.401
Ag: 0.995 0.250 0.901
Se: 0.087 0.250 0.560
Se: 0.118 0.750 0.853
Se: 0.146 0.750 0.276
Se: 0.354 0.250 0.776
Se: 0.382 0.250 0.353
Se: 0.413 0.750 0.060
Se: 0.587 0.250 0.940
Se: 0.618 0.750 0.647
Se: 0.646 0.750 0.224
Se: 0.854 0.250 0.724
Se: 0.882 0.250 0.147
Se: 0.913 0.750 0.440

- Energy above the most stable polymorph in this dataset: 0 meV/atom
- M_tot: 16.225 μB/cell
- Calculated density: 5.91 Mg/m³
- Final energy: -108.56 eV per cell


No. 3
This record from OQMD describes a geometry-optimized SrFeAgSe3 structure. The functional is PBE.

Cell: 7.129 7.129 10.184 Å, 90.00 90.00 147.52°
Element x y z (fractional)
Sr: 0.238 0.762 0.750
Sr: 0.762 0.238 0.250
Fe: 0.000 0.000 0.000
Fe: 0.000 0.000 0.500
Ag: 0.465 0.535 0.250
Ag: 0.535 0.465 0.750
Se: 0.087 0.913 0.250
Se: 0.368 0.632 0.034
Se: 0.368 0.632 0.466
Se: 0.632 0.368 0.534
Se: 0.632 0.368 0.966
Se: 0.913 0.087 0.750

- Energy above the most stable polymorph in this dataset: 67 meV/atom
- M_tot: 9.050 μB/cell
- Calculated density: 5.83 Mg/m³
- Final energy: -53.47 eV per cell


No. 4
This record from OQMD describes a geometry-optimized TlFeAgTe2Se structure. The functional is PBE.

Cell: 7.130 7.130 11.097 Å, 90.00 90.00 147.17°
Element x y z (fractional)
Tl: 0.246 0.754 0.750
Tl: 0.754 0.246 0.250
Fe: 0.500 0.500 0.000
Fe: 0.500 0.500 0.500
Ag: 0.078 0.922 0.250
Ag: 0.922 0.078 0.750
Te: 0.126 0.874 0.008
Te: 0.126 0.874 0.492
Te: 0.874 0.126 0.508
Te: 0.874 0.126 0.992
Se: 0.448 0.552 0.250
Se: 0.552 0.448 0.750

- M_tot: 5.455 μB/cell
- Calculated density: 7.63 Mg/m³
- Final energy: -46.68 eV per cell